The following is a GGA-PBE calculation of a relaxed ZrTaAg2 crystal, from the Alexandria database.

The structure belongs to space group R3m (No. 160, hexagonal axes); the cell edges are 2.9593, 2.9593 and 30.3474 Å and the angles 90.00°, 90.00° and 120.00°. The asymmetric unit holds Zr at (0.0000, 0.0000, 0.0000), Ta at (0.0000, 0.0000, 0.2447), Ag at (0.0000, 0.0000, 0.4979) and Ag at (0.0000, 0.0000, 0.7514).

As for the energy relative to the elements: 190 meV per atom. The energy above the lowest structure with this stoichiometry comes out at 0.49 eV/f.u.